No. 1
Computed, not measured: a relaxed structure of Ac2GeF8 at the PBE level of DFT.

Lattice parameters (Å, degrees): 8.245 8.245 5.789 110.21 110.21 28.80
Sites, in units of the cell vectors:
Ac1 0.172 0.172 0.167
Ac2 0.828 0.828 0.833
Ge1 0.402 0.598 0.500
F1 0.015 0.910 0.250
F2 0.090 0.985 0.750
F3 0.224 0.221 0.620
F4 0.325 0.315 0.098
F5 0.400 0.410 0.734
F6 0.590 0.600 0.266
F7 0.685 0.675 0.902
F8 0.779 0.776 0.380

Values from the calculation:
- DOS at the Fermi energy (states/eV per cell) = 0.0
- VASP energy (eV per atom) = -6.1163
- SG = C2, No. 5

***

No. 2
Computed, not measured: a relaxed structure of CaYSc2Co at the PBE level of DFT.

Lattice parameters (Å, degrees): 5.033 5.033 5.260 90.00 90.00 90.00
Sites, in units of the cell vectors:
Ca1 0.000 0.000 0.000
Y1 0.500 0.500 0.000
Sc1 0.000 0.500 0.500
Sc2 0.500 0.000 0.500
Co1 0.500 0.500 0.500

Values from the calculation:
- DOS at the Fermi energy (states/eV per cell) = 6.1
- VASP energy (eV per atom) = -5.6957
- energy of formation (eV/f.u.) = -0.244
- SG = P4/mmm, No. 123

***

No. 3
Computed, not measured: a relaxed structure of Ag2PbI4 at the PBE level of DFT.

Lattice parameters (Å, degrees): 7.952 7.952 8.023 102.37 102.37 34.98
Sites, in units of the cell vectors:
Ag1 0.167 0.167 0.088
Ag2 0.833 0.833 0.912
Pb1 0.500 0.500 0.500
I1 0.129 0.129 0.413
I2 0.369 0.369 0.112
I3 0.631 0.631 0.888
I4 0.871 0.871 0.587

Values from the calculation:
- DOS at the Fermi energy (states/eV per cell) = 0.0
- VASP energy (eV per atom) = -2.6276
- SG = C2/m, No. 12

***

No. 4
Computed, not measured: a relaxed structure of Cs2Hg6Sb3 at the PBE level of DFT.

Lattice parameters (Å, degrees): 8.713 8.713 6.082 90.00 90.00 120.00
Sites, in units of the cell vectors:
Cs1 0.333 0.667 0.000
Cs2 0.667 0.333 0.000
Hg1 0.000 0.200 0.000
Hg2 0.000 0.658 0.500
Hg3 0.200 0.000 0.000
Hg4 0.342 0.342 0.500
Hg5 0.658 0.000 0.500
Hg6 0.800 0.800 0.000
Sb1 0.000 0.327 0.500
Sb2 0.327 0.000 0.500
Sb3 0.673 0.673 0.500

Values from the calculation:
- DOS at the Fermi energy (states/eV per cell) = 4.4
- VASP energy (eV per atom) = -1.5932
- SG = P-62m, No. 189

***

No. 5
Computed, not measured: a relaxed structure of Na3InGa at the PBE level of DFT.

Lattice parameters (Å, degrees): 5.836 5.836 5.836 90.00 90.00 90.00
Sites, in units of the cell vectors:
Na1 0.000 0.000 0.500
Na2 0.000 0.500 0.000
Na3 0.500 0.000 0.000
In1 0.000 0.000 0.000
Ga1 0.500 0.500 0.500

Values from the calculation:
- DOS at the Fermi energy (states/eV per cell) = 4.4
- VASP energy (eV per atom) = -1.5819
- energy of formation (eV/f.u.) = 1.813
- SG = Pm-3m, No. 221

***

No. 6
Computed, not measured: a relaxed structure of Sr2ZrIr at the PBE level of DFT.

Lattice parameters (Å, degrees): 6.252 6.252 6.252 140.05 140.05 57.77
Sites, in units of the cell vectors:
Sr1 0.250 0.750 0.500
Sr2 0.750 0.250 0.500
Zr1 0.000 0.000 0.000
Ir1 0.500 0.500 0.000

Values from the calculation:
- DOS at the Fermi energy (states/eV per cell) = 2.5
- VASP energy (eV per atom) = -4.8292
- energy of formation (eV/f.u.) = 1.456
- SG = I4/mmm, No. 139

***

No. 7
Computed, not measured: a relaxed structure of NaCaMg at the PBE level of DFT.

Lattice parameters (Å, degrees): 6.646 6.646 5.579 90.00 90.00 128.74
Sites, in units of the cell vectors:
Na1 0.067 0.933 0.750
Na2 0.933 0.067 0.250
Ca1 0.258 0.742 0.250
Ca2 0.742 0.258 0.750
Mg1 0.430 0.570 0.750
Mg2 0.570 0.430 0.250

Values from the calculation:
- DOS at the Fermi energy (states/eV per cell) = 4.7
- VASP energy (eV per atom) = -1.6059
- energy of formation (eV/f.u.) = 0.097
- SG = Cmcm, No. 63

***

No. 8
Computed, not measured: a relaxed structure of Ti2HgH at the PBE level of DFT.

Lattice parameters (Å, degrees): 6.110 6.110 6.110 130.96 130.96 71.88
Sites, in units of the cell vectors:
Ti1 0.000 0.000 0.000
Ti2 0.000 0.000 0.500
Ti3 0.000 0.500 0.000
Ti4 0.500 0.000 0.500
Hg1 0.375 0.625 0.750
Hg2 0.625 0.375 0.250
H1 0.125 0.875 0.250
H2 0.875 0.125 0.750

Values from the calculation:
- DOS at the Fermi energy (states/eV per cell) = 7.9
- VASP energy (eV per atom) = -4.7489
- SG = I4_1/amd, No. 141

***

No. 9
Computed, not measured: a relaxed structure of La2ZnBiC at the PBE level of DFT.

Lattice parameters (Å, degrees): 5.420 5.420 4.151 90.00 90.00 90.00
Sites, in units of the cell vectors:
La1 0.000 0.500 0.000
La2 0.500 0.000 0.000
Zn1 0.000 0.000 0.500
Bi1 0.500 0.500 0.500
C1 0.000 0.000 0.000

Values from the calculation:
- DOS at the Fermi energy (states/eV per cell) = 2.2
- VASP energy (eV per atom) = -5.2289
- energy of formation (eV/f.u.) = -1.911
- SG = P4/mmm, No. 123

***

No. 10
Computed, not measured: a relaxed structure of RbMn2BiTe at the PBE level of DFT.

Lattice parameters (Å, degrees): 5.331 5.331 6.685 90.00 90.00 90.00
Sites, in units of the cell vectors:
Rb1 0.000 0.000 0.000
Mn1 0.000 0.500 0.500
Mn2 0.500 0.000 0.500
Bi1 0.000 0.000 0.500
Te1 0.500 0.500 0.000

Values from the calculation:
- DOS at the Fermi energy (states/eV per cell) = 3.1
- VASP energy (eV per atom) = -4.6616
- SG = P4/mmm, No. 123

***

No. 11
Computed, not measured: a relaxed structure of LiGdGaBi at the PBE level of DFT.

Lattice parameters (Å, degrees): 5.189 5.189 5.189 60.00 60.00 60.00
Sites, in units of the cell vectors:
Li1 0.000 0.000 0.000
Gd1 0.500 0.500 0.500
Ga1 0.250 0.250 0.250
Bi1 0.750 0.750 0.750

Values from the calculation:
- DOS at the Fermi energy (states/eV per cell) = 2.8
- VASP energy (eV per atom) = -6.1223
- energy of formation (eV/f.u.) = -1.587
- SG = F-43m, No. 216

***

No. 12
Computed, not measured: a relaxed structure of HoMgI4 at the PBE level of DFT.

Lattice parameters (Å, degrees): 7.754 4.104 8.161 90.00 107.49 90.00
Sites, in units of the cell vectors:
Ho1 0.000 0.000 0.000
Mg1 0.500 0.500 0.000
I1 0.259 0.500 0.229
I2 0.264 0.000 0.785
I3 0.736 0.000 0.215
I4 0.741 0.500 0.771

Values from the calculation:
- DOS at the Fermi energy (states/eV per cell) = 2.5
- VASP energy (eV per atom) = -3.1327
- SG = P2/m, No. 10